A plane-wave DFT calculation with PBE+U was carried out for a relaxed LiMnPO4 crystal.

abc: 7.213 7.213 7.213
angles: 90.00 90.00 90.00
Last column: magnetic moment on the atom in μB.
Sites, in units of the cell vectors:
Li  0.205  0.705  0.795  0.00
Li  0.295  0.295  0.295  0.00
Li  0.705  0.795  0.205  0.00
Li  0.795  0.205  0.705  0.00
Mn  0.271  0.729  0.229  4.65
Mn  0.229  0.271  0.729  4.65
Mn  0.771  0.771  0.771  4.65
Mn  0.729  0.229  0.271  4.65
P  0.028  0.028  0.028  0.01
P  0.972  0.528  0.472  0.01
P  0.472  0.972  0.528  0.01
P  0.528  0.472  0.972  0.01
O  0.981  0.599  0.678  0.02
O  0.148  0.148  0.148  0.01
O  0.178  0.519  0.401  0.02
O  0.099  0.822  0.019  0.02
O  0.401  0.178  0.519  0.02
O  0.322  0.481  0.901  0.02
O  0.352  0.852  0.648  0.01
O  0.519  0.401  0.178  0.02
O  0.481  0.901  0.322  0.02
O  0.648  0.352  0.852  0.01
O  0.678  0.981  0.599  0.02
O  0.599  0.678  0.981  0.02
O  0.901  0.322  0.481  0.02
O  0.822  0.019  0.099  0.02
O  0.852  0.648  0.352  0.01
O  0.019  0.099  0.822  0.02

Relative energy among the computed polymorphs in meV/atom: 98
Final energy in eV/cell: -198.36
Space-group type: P2_13, No. 198
Crystal system: cubic